Record 1
A relaxed structure of DyTm2Se. Source: Alexandria via LeMat-Bulk, functional PBE.

Results
formation energy without anion corrections: -2.01 eV/f.u.
energy: -19.04 eV per cell
spin magnetization: 0.6 Bohr magnetons per cell
distance to the lowest polymorph of the same formula: 0.286 eV/atom
theoretical density: 8.104 g cm⁻³

Cell: 3.6433 3.6433 10.5391 Å, 80.05 80.05 60.00°
Element x y z (fractional)
Dy 0.0000 0.0000 0.0000
Se 0.5000 0.5000 0.5000
Tm 0.1081 0.1081 0.6757
Tm 0.8919 0.8919 0.3243

Record 2
A relaxed structure of LuHfBe2. Source: Alexandria via LeMat-Bulk, functional PBE.

Results
energy: -21.74 eV per cell
spin magnetization: 0.0 Bohr magnetons per cell
distance to the lowest polymorph of the same formula: 0.062 eV/atom
theoretical density: 9.269 g cm⁻³

Cell: 4.5487 4.5487 4.5487 Å, 60.00 60.00 60.00°
Element x y z (fractional)
Hf 0.5000 0.5000 0.5000
Be 0.2500 0.2500 0.2500
Be 0.7500 0.7500 0.7500
Lu 0.0000 0.0000 0.0000

Record 3
A relaxed structure of RbAc2AuO5. Source: Alexandria via LeMat-Bulk, functional PBE.

Results
formation energy without anion corrections: -17.83 eV/f.u.
energy: -110.17 eV per cell
spin magnetization: 4.0 Bohr magnetons per cell
theoretical density: 8.142 g cm⁻³

Cell: 7.2499 7.2499 8.1503 Å, 116.41 116.41 90.00°
Element x y z (fractional)
O 0.7477 0.9887 0.2364
O 0.0000 0.0000 0.0000
O 0.9887 0.4887 0.2364
O 0.0113 0.5113 0.7636
O 0.2477 0.7477 0.2364
O 0.2523 0.0113 0.7636
O 0.7523 0.2523 0.7636
O 0.5000 0.5000 0.0000
O 0.4887 0.2477 0.2364
O 0.5113 0.7523 0.7636
Au 0.2500 0.7500 0.5000
Au 0.7500 0.2500 0.5000
Ac 0.8210 0.6790 0.0000
Ac 0.1790 0.3210 0.0000
Ac 0.6790 0.1790 0.0000
Ac 0.3210 0.8210 0.0000
Rb 0.7500 0.7500 0.5000
Rb 0.2500 0.2500 0.5000

Q: Which of these has the highest spin magnetization?
A: RbAc2AuO5